## FeNiBIr (GGA-PBE)

Data for a relaxed structure of FeNiBIr.

**Relative energy among the computed polymorphs**: 304 meV per atom
**Total moment**: 2.38 μB per formula unit
**Total DFT energy (no corrections)**: -6.8655 eV/atom
**Volume**: 11.04 Å³/atom

Cell: 3.9677 3.9677 3.9677 Å, 60.00 60.00 60.00°
Sites, in units of the cell vectors:
Fe 0.0000 0.0000 0.0000
Ni 0.5000 0.5000 0.5000
B 0.7500 0.7500 0.7500
Ir 0.2500 0.2500 0.2500

***

## FeBIrPd (GGA-PBE)

Data for a relaxed structure of FeBIrPd.

**Relative energy among the computed polymorphs**: 0 meV per atom
**Total moment**: 2.75 μB per formula unit
**Total DFT energy (no corrections)**: -6.7414 eV/atom
**Volume**: 12.43 Å³/atom

Cell: 4.1279 4.1279 4.1279 Å, 60.00 60.00 60.00°
Sites, in units of the cell vectors:
Fe 0.0000 0.0000 0.0000
B 0.2500 0.2500 0.2500
Ir 0.5000 0.5000 0.5000
Pd 0.7500 0.7500 0.7500

***

## FeReBIr (GGA-PBE)

Data for a relaxed structure of FeReBIr.

**Relative energy among the computed polymorphs**: 0 meV per atom
**Total moment**: 1.64 μB per formula unit
**Total DFT energy (no corrections)**: -8.4965 eV/atom
**Volume**: 12.31 Å³/atom

Cell: 4.1144 4.1144 4.1144 Å, 60.00 60.00 60.00°
Sites, in units of the cell vectors:
Fe 0.0000 0.0000 0.0000
Re 0.5000 0.5000 0.5000
B 0.7500 0.7500 0.7500
Ir 0.2500 0.2500 0.2500

***

## FeTcBIr (GGA-PBE)

Data for a relaxed structure of FeTcBIr.

**Relative energy among the computed polymorphs**: 0 meV per atom
**Total moment**: 1.52 μB per formula unit
**Total DFT energy (no corrections)**: -8.0423 eV/atom
**Volume**: 12.19 Å³/atom

Cell: 4.1005 4.1005 4.1005 Å, 60.00 60.00 60.00°
Sites, in units of the cell vectors:
Fe 0.0000 0.0000 0.0000
Tc 0.5000 0.5000 0.5000
B 0.7500 0.7500 0.7500
Ir 0.2500 0.2500 0.2500

***

## Tm2FeB4Ir4 (GGA-PBE)

Data for a relaxed structure of Tm2FeB4Ir4.

**Total moment**: 0.00 μB per formula unit
**Total DFT energy (no corrections)**: -7.9051 eV/atom
**Volume**: 13.10 Å³/atom

Cell: 7.3525 6.3113 5.3882 Å, 77.43 56.91 45.66°
Sites, in units of the cell vectors:
Tm 0.1366 0.1366 0.8634
Tm 0.8634 0.8634 0.1366
Fe 0.5000 0.5000 0.5000
B 0.2245 0.5126 0.4874
B 0.4874 0.7755 0.2245
B 0.5126 0.2245 0.7755
B 0.7755 0.4874 0.5126
Ir 0.0000 0.0000 0.5000
Ir 0.2500 0.2500 0.2500
Ir 0.5000 0.5000 0.0000
Ir 0.7500 0.7500 0.7500

***

## Tm2Fe3B4Ir2 (GGA-PBE)

Data for a relaxed structure of Tm2Fe3B4Ir2.

**Relative energy among the computed polymorphs**: 29 meV per atom
**Total moment**: 2.03 μB per formula unit
**Total DFT energy (no corrections)**: -7.6449 eV/atom
**Volume**: 12.51 Å³/atom

Cell: 7.2832 6.2633 5.2832 Å, 77.70 57.16 45.13°
Sites, in units of the cell vectors:
Tm 0.1363 0.1363 0.8637
Tm 0.8637 0.8637 0.1363
Fe 0.0000 0.0000 0.5000
Fe 0.5000 0.5000 0.0000
Fe 0.5000 0.5000 0.5000
B 0.2208 0.5308 0.4692
B 0.4692 0.7792 0.2208
B 0.5308 0.2208 0.7792
B 0.7792 0.4692 0.5308
Ir 0.2500 0.2500 0.2500
Ir 0.7500 0.7500 0.7500

***

## Tm2Fe3B4Ir2 (GGA-PBE)

Data for a relaxed structure of Tm2Fe3B4Ir2.

**Relative energy among the computed polymorphs**: 0 meV per atom
**Total moment**: 1.44 μB per formula unit
**Total DFT energy (no corrections)**: -7.6739 eV/atom
**Volume**: 12.17 Å³/atom

Cell: 7.1670 6.1537 5.2574 Å, 77.38 56.91 45.71°
Sites, in units of the cell vectors:
Tm 0.1453 0.1453 0.8547
Tm 0.8547 0.8547 0.1453
Fe 0.2500 0.2500 0.2500
Fe 0.5000 0.5000 0.5000
Fe 0.7500 0.7500 0.7500
B 0.2078 0.5105 0.4895
B 0.4895 0.7922 0.2078
B 0.5105 0.2078 0.7922
B 0.7922 0.4895 0.5105
Ir 0.0000 0.0000 0.5000
Ir 0.5000 0.5000 0.0000

***

## ZnFeBIr (GGA-PBE)

Data for a relaxed structure of ZnFeBIr.

**Relative energy among the computed polymorphs**: 317 meV per atom
**Total moment**: 2.82 μB per formula unit
**Total DFT energy (no corrections)**: -5.6819 eV/atom
**Volume**: 12.03 Å³/atom

Cell: 4.0823 4.0823 4.0823 Å, 60.00 60.00 60.00°
Sites, in units of the cell vectors:
Zn 0.0000 0.0000 0.0000
Fe 0.5000 0.5000 0.5000
B 0.2500 0.2500 0.2500
Ir 0.7500 0.7500 0.7500

***

## ZnFeBIr (GGA-PBE)

Data for a relaxed structure of ZnFeBIr.

**Relative energy among the computed polymorphs**: 0 meV per atom
**Total moment**: 1.33 μB per formula unit
**Total DFT energy (no corrections)**: -5.9993 eV/atom
**Volume**: 11.20 Å³/atom

Cell: 3.9871 3.9871 3.9871 Å, 60.00 60.00 60.00°
Sites, in units of the cell vectors:
Zn 0.0000 0.0000 0.0000
Fe 0.7500 0.7500 0.7500
B 0.5000 0.5000 0.5000
Ir 0.2500 0.2500 0.2500

***

## ZrFeBIr (GGA-PBE)

Data for a relaxed structure of ZrFeBIr.

**Relative energy among the computed polymorphs**: 162 meV per atom
**Total moment**: 3.64 μB per formula unit
**Total DFT energy (no corrections)**: -7.8436 eV/atom
**Volume**: 14.36 Å³/atom

Cell: 4.3310 4.3310 4.3310 Å, 60.00 60.00 60.00°
Sites, in units of the cell vectors:
Zr 0.0000 0.0000 0.0000
Fe 0.5000 0.5000 0.5000
B 0.2500 0.2500 0.2500
Ir 0.7500 0.7500 0.7500

***

## ZrFeBIr (GGA-PBE)

Data for a relaxed structure of ZrFeBIr.

**Relative energy among the computed polymorphs**: 0 meV per atom
**Total moment**: 0.01 μB per formula unit
**Total DFT energy (no corrections)**: -8.0053 eV/atom
**Volume**: 13.30 Å³/atom

Cell: 4.2219 4.2219 4.2219 Å, 60.00 60.00 60.00°
Sites, in units of the cell vectors:
Zr 0.0000 0.0000 0.0000
Fe 0.7500 0.7500 0.7500
B 0.5000 0.5000 0.5000
Ir 0.2500 0.2500 0.2500

***

## LaFe4B4 (GGA-PBE)

Data for a relaxed structure of LaFe4B4.

**Total moment**: 0.63 μB per formula unit
**Total DFT energy (no corrections)**: -7.6258 eV/atom
**Volume**: 10.69 Å³/atom

Cell: 7.1057 7.1057 3.8094 Å, 90.00 90.00 90.00°
Sites, in units of the cell vectors:
La 0.2500 0.2500 0.2500
La 0.7500 0.7500 0.7500
Fe 0.1196 0.6378 0.1438
Fe 0.1378 0.8804 0.6438
Fe 0.3622 0.6196 0.6438
Fe 0.3804 0.8622 0.1438
Fe 0.6196 0.1378 0.8562
Fe 0.6378 0.3804 0.3562
Fe 0.8622 0.1196 0.3562
Fe 0.8804 0.3622 0.8562
B 0.0488 0.9151 0.1445
B 0.0849 0.5488 0.6445
B 0.4151 0.9512 0.6445
B 0.4512 0.5849 0.1445
B 0.5488 0.4151 0.8555
B 0.5849 0.0488 0.3555
B 0.9151 0.4512 0.3555
B 0.9512 0.0849 0.8555

***

## La2Fe14B (GGA-PBE)

Data for a relaxed structure of La2Fe14B.

**Total moment**: 31.21 μB per formula unit
**Total DFT energy (no corrections)**: -7.8520 eV/atom
**Volume**: 13.86 Å³/atom

Cell: 8.7738 8.7738 12.2452 Å, 90.00 90.00 90.00°
Sites, in units of the cell vectors:
La 0.1410 0.1410 0.0000
La 0.2306 0.2306 0.5000
La 0.2694 0.7306 0.0000
La 0.3590 0.6410 0.5000
La 0.6410 0.3590 0.5000
La 0.7306 0.2694 0.0000
La 0.7694 0.7694 0.5000
La 0.8590 0.8590 0.0000
Fe 0.0000 0.0000 0.3859
Fe 0.0000 0.0000 0.6141
Fe 0.0000 0.5000 0.0000
Fe 0.0000 0.5000 0.5000
Fe 0.0375 0.6393 0.1773
Fe 0.0375 0.6393 0.8227
Fe 0.0686 0.7243 0.3723
Fe 0.0686 0.7243 0.6277
Fe 0.0984 0.9016 0.2081
Fe 0.0984 0.9016 0.7919
Fe 0.1393 0.4625 0.3227
Fe 0.1393 0.4625 0.6773
Fe 0.1814 0.1814 0.2544
Fe 0.1814 0.1814 0.7456
Fe 0.2243 0.4314 0.1277
Fe 0.2243 0.4314 0.8723
Fe 0.2757 0.9314 0.3723
Fe 0.2757 0.9314 0.6277
Fe 0.3186 0.6814 0.2456
Fe 0.3186 0.6814 0.7544
Fe 0.3607 0.9625 0.1773
Fe 0.3607 0.9625 0.8227
Fe 0.4016 0.4016 0.2919
Fe 0.4016 0.4016 0.7081
Fe 0.4314 0.2243 0.1277
Fe 0.4314 0.2243 0.8723
Fe 0.4625 0.1393 0.3227
Fe 0.4625 0.1393 0.6773
Fe 0.5000 0.0000 0.0000
Fe 0.5000 0.0000 0.5000
Fe 0.5000 0.5000 0.1141
Fe 0.5000 0.5000 0.8859
Fe 0.5375 0.8607 0.3227
Fe 0.5375 0.8607 0.6773
Fe 0.5686 0.7757 0.1277
Fe 0.5686 0.7757 0.8723
Fe 0.5984 0.5984 0.2919
Fe 0.5984 0.5984 0.7081
Fe 0.6393 0.0375 0.1773
Fe 0.6393 0.0375 0.8227
Fe 0.6814 0.3186 0.2456
Fe 0.6814 0.3186 0.7544
Fe 0.7243 0.0686 0.3723
Fe 0.7243 0.0686 0.6277
Fe 0.7757 0.5686 0.1277
Fe 0.7757 0.5686 0.8723
Fe 0.8186 0.8186 0.2544
Fe 0.8186 0.8186 0.7456
Fe 0.8607 0.5375 0.3227
Fe 0.8607 0.5375 0.6773
Fe 0.9016 0.0984 0.2081
Fe 0.9016 0.0984 0.7919
Fe 0.9314 0.2757 0.3723
Fe 0.9314 0.2757 0.6277
Fe 0.9625 0.3607 0.1773
Fe 0.9625 0.3607 0.8227
B 0.1226 0.8774 0.5000
B 0.3774 0.3774 0.0000
B 0.6226 0.6226 0.0000
B 0.8774 0.1226 0.5000

***

## LaFeB (GGA-PBE)

Data for a relaxed structure of LaFeB.

**Relative energy among the computed polymorphs**: 0 meV per atom
**Total moment**: 0.91 μB per formula unit
**Total DFT energy (no corrections)**: -5.9182 eV/atom
**Volume**: 17.05 Å³/atom

Cell: 4.1665 4.1665 4.1665 Å, 60.00 60.00 60.00°
Sites, in units of the cell vectors:
La 0.0000 0.0000 0.0000
Fe 0.7500 0.7500 0.7500
B 0.5000 0.5000 0.5000

***

## LaFeB (GGA-PBE)

Data for a relaxed structure of LaFeB.

**Relative energy among the computed polymorphs**: 750 meV per atom
**Total moment**: 2.30 μB per formula unit
**Total DFT energy (no corrections)**: -5.1685 eV/atom
**Volume**: 19.42 Å³/atom

Cell: 4.3517 4.3517 4.3517 Å, 60.00 60.00 60.00°
Sites, in units of the cell vectors:
La 0.0000 0.0000 0.0000
Fe 0.2500 0.2500 0.2500
B 0.7500 0.7500 0.7500

***

## La2NdFe2B2N3 (GGA-PBE)

Data for a relaxed structure of La2NdFe2B2N3.

**Total moment**: 2.46 μB per formula unit
**Total DFT energy (no corrections)**: -7.9088 eV/atom
**Volume**: 13.82 Å³/atom

Cell: 10.6983 10.6983 10.6983 Å, 160.36 160.36 27.91°
Sites, in units of the cell vectors:
La 0.1263 0.1263 0.0000
La 0.8737 0.8737 0.0000
Nd 0.5000 0.5000 0.0000
Fe 0.2500 0.7500 0.5000
Fe 0.7500 0.2500 0.5000
B 0.3094 0.3094 0.0000
B 0.6906 0.6906 0.0000
N 0.0000 0.0000 0.0000
N 0.3800 0.3800 0.0000
N 0.6200 0.6200 0.0000

***

## LaNd2Fe2B2N3 (GGA-PBE)

Data for a relaxed structure of LaNd2Fe2B2N3.

**Total moment**: 2.42 μB per formula unit
**Total DFT energy (no corrections)**: -7.9004 eV/atom
**Volume**: 13.64 Å³/atom

Cell: 10.7867 10.7867 10.7867 Å, 160.75 160.75 27.36°
Sites, in units of the cell vectors:
La 0.0000 0.0000 0.0000
Nd 0.3730 0.3730 0.0000
Nd 0.6270 0.6270 0.0000
Fe 0.2500 0.7500 0.5000
Fe 0.7500 0.2500 0.5000
B 0.1906 0.1906 0.0000
B 0.8094 0.8094 0.0000
N 0.1208 0.1208 0.0000
N 0.5000 0.5000 0.0000
N 0.8792 0.8792 0.0000

***

## LaPrFe2B2N2 (GGA-PBE)

Data for a relaxed structure of LaPrFe2B2N2.

**Total moment**: 2.47 μB per formula unit
**Total DFT energy (no corrections)**: -7.8760 eV/atom
**Volume**: 12.93 Å³/atom

Cell: 3.6262 3.6262 7.8666 Å, 90.00 90.00 90.00°
Sites, in units of the cell vectors:
La 0.0000 0.0000 0.0000
Pr 0.5000 0.5000 0.3446
Fe 0.0000 0.5000 0.6704
Fe 0.5000 0.0000 0.6704
B 0.0000 0.0000 0.5119
B 0.5000 0.5000 0.8302
N 0.0000 0.0000 0.3247
N 0.5000 0.5000 0.0173

***

## La2PrFe2B2N3 (GGA-PBE)

Data for a relaxed structure of La2PrFe2B2N3.

**Total moment**: 2.44 μB per formula unit
**Total DFT energy (no corrections)**: -7.8965 eV/atom
**Volume**: 13.95 Å³/atom

Cell: 10.7656 10.7656 10.7656 Å, 160.46 160.46 27.77°
Sites, in units of the cell vectors:
La 0.1268 0.1268 0.0000
La 0.8732 0.8732 0.0000
Pr 0.5000 0.5000 0.0000
Fe 0.2500 0.7500 0.5000
Fe 0.7500 0.2500 0.5000
B 0.3087 0.3087 0.0000
B 0.6913 0.6913 0.0000
N 0.0000 0.0000 0.0000
N 0.3789 0.3789 0.0000
N 0.6211 0.6211 0.0000

***

## LaPr2Fe2B2N3 (GGA-PBE)

Data for a relaxed structure of LaPr2Fe2B2N3.

**Total moment**: 2.44 μB per formula unit
**Total DFT energy (no corrections)**: -7.8761 eV/atom
**Volume**: 13.86 Å³/atom

Cell: 10.8228 10.8228 10.8228 Å, 160.69 160.69 27.44°
Sites, in units of the cell vectors:
La 0.0000 0.0000 0.0000
Pr 0.3727 0.3727 0.0000
Pr 0.6273 0.6273 0.0000
Fe 0.2500 0.7500 0.5000
Fe 0.7500 0.2500 0.5000
B 0.1908 0.1908 0.0000
B 0.8092 0.8092 0.0000
N 0.1212 0.1212 0.0000
N 0.5000 0.5000 0.0000
N 0.8788 0.8788 0.0000

***

## LaFe2BP (GGA-PBE)

Data for a relaxed structure of LaFe2BP.

**Total moment**: 0.04 μB per formula unit
**Total DFT energy (no corrections)**: -7.4153 eV/atom
**Volume**: 14.63 Å³/atom

Cell: 5.8109 5.8109 5.8109 Å, 142.21 142.21 54.51°
Sites, in units of the cell vectors:
La 0.0000 0.0000 0.0000
Fe 0.2608 0.7608 0.5000
Fe 0.7608 0.2608 0.5000
B 0.3333 0.3333 0.0000
P 0.6542 0.6542 0.0000

***

## LaFe2SiB (GGA-PBE)

Data for a relaxed structure of LaFe2SiB.

**Total moment**: 0.02 μB per formula unit
**Total DFT energy (no corrections)**: -7.1542 eV/atom
**Volume**: 15.20 Å³/atom

Cell: 5.8201 5.8201 5.8201 Å, 141.45 141.45 55.66°
Sites, in units of the cell vectors:
La 0.0000 0.0000 0.0000
Fe 0.2766 0.7766 0.5000
Fe 0.7766 0.2766 0.5000
Si 0.6670 0.6670 0.0000
B 0.3391 0.3391 0.0000

***

## LiFeB (GGA-PBE)

Data for a relaxed structure of LiFeB.

**Total moment**: 0.00 μB per formula unit
**Total DFT energy (no corrections)**: -5.3790 eV/atom
**Volume**: 9.22 Å³/atom

Cell: 3.3948 3.3948 3.3948 Å, 60.00 60.00 60.00°
Sites, in units of the cell vectors:
Li 0.0000 0.0000 0.0000
Fe 0.5000 0.5000 0.5000
B 0.7500 0.7500 0.7500